Here is a geometry-optimized K2AlPb structure from Alexandria. Energies are from GGA-PBE.

Output
* ρ: 3.63 g cm⁻³
* Fermi-level density of states: 4.3 states/eV per cell
* space-group type: Fm-3m
* offset from the most stable computed form: 280 meV per atom

Lattice parameters (Å, degrees): 5.8707 5.8707 5.8707 60.00 60.00 60.00
With the nearest neighbours (Å) after each atom.
Positions (direct):
K: 0.2500 0.2500 0.2500  4 Pb 3.60, 4 Al 3.60
K: 0.7500 0.7500 0.7500  4 Pb 3.60, 4 Al 3.60
Al: 0.0000 0.0000 0.0000  8 K 3.60
Pb: 0.5000 0.5000 0.5000  8 K 3.60


Here is a geometry-optimized KAl2Pb structure from Alexandria. Energies are from GGA-PBE.

Output
* ρ: 4.27 g cm⁻³
* Fermi-level density of states: 1.3 states/eV per cell
* space-group type: R3m

Lattice parameters (Å, degrees): 10.0414 10.0414 10.0414 21.28 21.28 21.28
With the nearest neighbours (Å) after each atom.
Positions (direct):
K: 0.0000 0.0000 0.0000  3 Al 3.61, 6 K 3.71, 3 Pb 3.79
Al: 0.2344 0.2344 0.2344  3 Al 2.73
Al: 0.5102 0.5102 0.5102  3 Al 2.73, 3 Pb 2.98
Pb: 0.7730 0.7730 0.7730  3 Al 2.98


Here is a geometry-optimized K2AlPb structure from Alexandria. Energies are from GGA-PBE.

Output
* ρ: 3.91 g cm⁻³
* Fermi-level density of states: 2.5 states/eV per cell
* space-group type: P4/mmm
* offset from the most stable computed form: 214 meV per atom

Lattice parameters (Å, degrees): 4.7877 4.7877 5.7855 90.00 90.00 90.00
With the nearest neighbours (Å) after each atom.
Positions (direct):
K: 0.0000 0.5000 0.0000  4 K 3.39, 4 Pb 3.75, 4 Al 3.75
K: 0.5000 0.0000 0.0000  4 K 3.39, 4 Pb 3.75, 4 Al 3.75
Al: 0.0000 0.0000 0.5000  4 Pb 3.39, 8 K 3.75
Pb: 0.5000 0.5000 0.5000  4 Al 3.39, 8 K 3.75


Here is a geometry-optimized KAl2Pb2 structure from Alexandria. Energies are from GGA-PBE.

Output
* ρ: 5.54 g cm⁻³
* Fermi-level density of states: 0.9 states/eV per cell
* space-group type: I4/mmm
* offset from the most stable computed form: 0 meV per atom

Lattice parameters (Å, degrees): 9.1546 9.1546 9.1546 153.53 153.53 37.78
With the nearest neighbours (Å) after each atom.
Positions (direct):
K: 0.0000 0.0000 0.0000  8 Pb 3.76, 4 K 4.19
Al: 0.2500 0.7500 0.5000  4 Pb 2.91, 4 Al 2.96
Al: 0.7500 0.2500 0.5000  4 Pb 2.91, 4 Al 2.96
Pb: 0.3663 0.3663 0.0000  4 Al 2.91
Pb: 0.6337 0.6337 0.0000  4 Al 2.91


Here is a geometry-optimized K2AlPb structure from Alexandria. Energies are from GGA-PBE.

Output
* ρ: 3.79 g cm⁻³
* Fermi-level density of states: 2.3 states/eV per cell
* space-group type: R-3m
* offset from the most stable computed form: 277 meV per atom

Lattice parameters (Å, degrees): 12.2664 12.2664 12.2664 16.94 16.94 16.94
With the nearest neighbours (Å) after each atom.
Positions (direct):
K: 0.2468 0.2468 0.2468  3 Al 3.58, 6 K 3.61, 3 Pb 3.77
K: 0.7532 0.7532 0.7532  3 Al 3.58, 6 K 3.61, 3 Pb 3.77
Al: 0.5000 0.5000 0.5000  6 K 3.58, 6 Al 3.61
Pb: 0.0000 0.0000 0.0000  6 Pb 3.61, 6 K 3.77


Here is a geometry-optimized KAl2Pb structure from Alexandria. Energies are from GGA-PBE.

Output
* ρ: 4.67 g cm⁻³
* Fermi-level density of states: 1.3 states/eV per cell
* space-group type: C2/m

Lattice parameters (Å, degrees): 6.5428 6.5428 3.0997 101.88 101.88 118.49
With the nearest neighbours (Å) after each atom.
Positions (direct):
K: 0.0000 0.0000 0.0000  2 K 3.10, 4 Al 3.32, 2 Pb 3.35
Al: 0.0000 0.5000 0.5000  4 Al 3.10-3.35, 2 Pb 3.32, 2 K 3.32
Al: 0.5000 0.0000 0.5000  4 Al 3.10-3.35, 2 Pb 3.32, 2 K 3.32
Pb: 0.5000 0.5000 0.0000  2 Pb 3.10, 4 Al 3.32, 2 K 3.35


Number 1: magnetic moment 0.000 μB/atom, energy of formation 0.290 eV/atom. Number 2: magnetic moment 0.000 μB/atom, energy of formation 0.251 eV/atom. Number 3: magnetic moment 0.087 μB/atom, energy of formation 0.225 eV/atom. Number 4: magnetic moment 0.000 μB/atom, energy of formation -0.024 eV/atom. Number 5: magnetic moment 0.098 μB/atom, energy of formation 0.287 eV/atom. Number 6: magnetic moment 0.000 μB/atom, energy of formation 0.347 eV/atom.